# 1
First-principles (GGA-PBE) data for crystalline TlBiCO2 at its relaxed geometry, as listed in Alexandria via LeMat-Bulk.

abc: 4.274 4.232 4.274
angles: 90.00 90.00 90.00
Atoms (fractional coordinates):
O: 0.500 0.000 0.000
O: 0.000 0.000 0.500
Bi: 0.500 0.500 0.500
Tl: 0.000 0.500 0.000
C: 0.000 0.000 0.000

Properties
Formation energy (no corrections): 1124 meV per atom
SG: No. 123

=====

# 2
First-principles (GGA-PBE) data for crystalline Tl2BiC2O6 at its relaxed geometry, as listed in Alexandria via LeMat-Bulk.

abc: 5.533 6.504 6.870
angles: 114.60 90.00 115.17
Site moments in Bohr magnetons follow the coordinates.
Atoms (fractional coordinates):
Tl: 0.696 0.391 0.212  0.03
Tl: 0.304 0.609 0.788  0.03
O: 0.119 0.834 0.217  0.01
O: 0.105 0.210 0.336  0.01
O: 0.715 0.834 0.217  0.01
O: 0.285 0.166 0.783  0.01
O: 0.895 0.790 0.664  0.01
O: 0.881 0.166 0.783  0.01
C: 0.984 0.969 0.258  0.00
C: 0.016 0.031 0.742  0.00
Bi: 0.500 0.000 0.500  0.53

Properties
Formation energy (no corrections): -1118 meV per atom
SG: No. 12

=====

# 3
First-principles (GGA-PBE) data for crystalline Bi2OsC at its relaxed geometry, as listed in Alexandria via LeMat-Bulk.

abc: 5.983 5.983 6.774
angles: 63.79 63.79 90.00
Atoms (fractional coordinates):
Bi: 0.375 0.417 0.750
Bi: 0.875 0.833 0.750
Bi: 0.167 0.625 0.250
Bi: 0.583 0.125 0.250
Os: 0.750 0.250 0.500
Os: 0.000 0.000 0.000
C: 0.250 0.750 0.500
C: 0.500 0.500 0.000

Properties
Energy relative to the elements: 5.9 eV per formula unit
SG: No. 122

=====

# 4
First-principles (GGA-PBE) data for crystalline BiOsC3 at its relaxed geometry, as listed in Alexandria via LeMat-Bulk.

abc: 4.083 4.083 4.083
angles: 90.00 90.00 90.00
Atoms (fractional coordinates):
Os: 0.000 0.000 0.000
C: 0.000 0.500 0.000
C: 0.000 0.000 0.500
C: 0.500 0.000 0.000
Bi: 0.500 0.500 0.500

Properties
Energy relative to the elements: 9.4 eV per formula unit
SG: No. 221

=====

# 5
First-principles (GGA-PBE) data for crystalline Bi3OsC at its relaxed geometry, as listed in Alexandria via LeMat-Bulk.

abc: 4.811 4.811 4.811
angles: 90.00 90.00 90.00
Atoms (fractional coordinates):
C: 0.000 0.000 0.000
Os: 0.500 0.500 0.500
Bi: 0.000 0.000 0.500
Bi: 0.500 0.000 0.000
Bi: 0.000 0.500 0.000

Properties
Energy relative to the elements: 8.0 eV per formula unit
SG: No. 221

=====

# 6
First-principles (GGA-PBE) data for crystalline BiOsC2 at its relaxed geometry, as listed in Alexandria via LeMat-Bulk.

abc: 5.291 5.291 6.069
angles: 64.16 64.16 90.00
Atoms (fractional coordinates):
C: 0.375 0.478 0.750
C: 0.228 0.625 0.250
C: 0.522 0.125 0.250
C: 0.875 0.772 0.750
Os: 0.250 0.750 0.500
Os: 0.500 0.500 0.000
Bi: 0.000 0.000 0.000
Bi: 0.750 0.250 0.500

Properties
Energy relative to the elements: 4.4 eV per formula unit
SG: No. 122

=====

# 7
First-principles (GGA-PBE) data for crystalline Bi3OsC at its relaxed geometry, as listed in Alexandria via LeMat-Bulk.

abc: 5.299 5.299 5.299
angles: 90.00 90.00 90.00
Site moments in Bohr magnetons follow the coordinates.
Atoms (fractional coordinates):
Bi: 0.500 0.000 0.000  -0.05
Bi: 0.000 0.500 0.000  -0.10
Bi: 0.000 0.000 0.500  -0.18
C: 0.500 0.500 0.500  0.73
Os: 0.000 0.000 0.000  -0.25

Properties
Energy relative to the elements: 9.7 eV per formula unit
SG: No. 221

=====

# 8
First-principles (GGA-PBE) data for crystalline BiOsC3 at its relaxed geometry, as listed in Alexandria via LeMat-Bulk.

abc: 4.318 4.318 4.318
angles: 90.00 90.00 90.00
Atoms (fractional coordinates):
Bi: 0.000 0.000 0.000
Os: 0.500 0.500 0.500
C: 0.000 0.000 0.500
C: 0.000 0.500 0.000
C: 0.500 0.000 0.000

Properties
Energy relative to the elements: 20.4 eV per formula unit
SG: No. 221

=====

# 9
First-principles (GGA-PBE) data for crystalline BiOs2RuC at its relaxed geometry, as listed in Alexandria via LeMat-Bulk.

abc: 4.672 5.174 4.672
angles: 90.00 90.00 90.00
Site moments in Bohr magnetons follow the coordinates.
Atoms (fractional coordinates):
Os: 0.500 0.000 0.000  0.45
Os: 0.000 0.000 0.500  0.56
C: 0.500 0.500 0.500  -0.34
Bi: 0.000 0.500 0.000  0.05
Ru: 0.000 0.000 0.000  -0.03

Properties
Energy relative to the elements: 15.2 eV per formula unit
SG: No. 123

=====

# 10
First-principles (GGA-PBE) data for crystalline ScBiOsC2 at its relaxed geometry, as listed in Alexandria via LeMat-Bulk.

abc: 4.395 5.641 4.395
angles: 90.00 90.00 90.00
Site moments in Bohr magnetons follow the coordinates.
Atoms (fractional coordinates):
Sc: 0.000 0.500 0.000  -0.18
Os: 0.500 0.500 0.500  2.19
C: 0.000 0.000 0.500  -0.06
C: 0.500 0.000 0.000  -0.11
Bi: 0.000 0.000 0.000  0.01

Properties
Energy relative to the elements: 15.4 eV per formula unit
SG: No. 123

=====

# 11
First-principles (GGA-PBE) data for crystalline ScBiOsC2 at its relaxed geometry, as listed in Alexandria via LeMat-Bulk.

abc: 4.000 5.945 4.000
angles: 90.00 90.00 90.00
Atoms (fractional coordinates):
Bi: 0.000 0.500 0.000
Os: 0.000 0.000 0.000
C: 0.500 0.000 0.000
C: 0.000 0.000 0.500
Sc: 0.500 0.500 0.500

Properties
Energy relative to the elements: 5.1 eV per formula unit
SG: No. 123

=====

# 12
First-principles (GGA-PBE) data for crystalline Sc2BiOsC at its relaxed geometry, as listed in Alexandria via LeMat-Bulk.

abc: 4.725 4.725 3.986
angles: 90.00 90.00 90.00
Atoms (fractional coordinates):
Sc: 0.500 0.000 0.000
Sc: 0.000 0.500 0.000
Bi: 0.500 0.500 0.500
Os: 0.000 0.000 0.500
C: 0.000 0.000 0.000

Properties
Energy relative to the elements: -1.7 eV per formula unit
SG: No. 123